A relaxed Ho2O3 crystal. Source: OQMD via LeMat-Bulk, functional PBE.

Properties
* electronic total energy: -125.6 eV/cell
* space group: C2/m (12)
* total magnetization: 0.00 μB per formula unit

Structure (POSCAR):
```
Ho2O3
1.0
6.9198 -1.7343 0.0000
6.9198 1.7343 0.0000
-1.5033 0.0000 8.4214
Ho O
6 9
direct
0.0332 0.0332 0.3125
0.3096 0.3096 0.3627
0.3649 0.3649 0.0127
0.6351 0.6351 0.9873
0.6904 0.6904 0.6373
0.9668 0.9668 0.6875
0.1278 0.1278 0.7832
0.1748 0.1748 0.4701
0.2058 0.2058 0.1245
0.4709 0.4709 0.8437
0.5000 0.5000 0.5000
0.5291 0.5291 0.1563
0.7942 0.7942 0.8755
0.8252 0.8252 0.5299
0.8722 0.8722 0.2168
```

=====

A relaxed Ho2O3 crystal. Source: OQMD via LeMat-Bulk, functional PBE.

Properties
* electronic total energy: -336.8 eV/cell
* space group: Ia-3 (206)
* total magnetization: 0.00 μB per formula unit

Structure (POSCAR):
```
Ho2O3
1.0
-5.2645 5.2645 5.2645
5.2645 -5.2645 5.2645
5.2645 5.2645 -5.2645
Ho O
16 24
direct
0.0000 0.0000 0.0000
0.0000 0.5000 0.5000
0.0327 0.7827 0.2500
0.2173 0.7500 0.9673
0.2500 0.0327 0.7827
0.2500 0.5327 0.2827
0.2827 0.2500 0.5327
0.4673 0.7173 0.7500
0.5000 0.0000 0.5000
0.5000 0.5000 0.0000
0.5327 0.2827 0.2500
0.7173 0.7500 0.4673
0.7500 0.4673 0.7173
0.7500 0.9673 0.2173
0.7827 0.2500 0.0327
0.9673 0.2173 0.7500
0.0117 0.4685 0.7396
0.0315 0.0432 0.2710
0.0432 0.2710 0.0315
0.2278 0.4568 0.4883
0.2290 0.2722 0.7604
0.2396 0.7710 0.7278
0.2604 0.9883 0.5315
0.2710 0.0315 0.0432
0.2722 0.7604 0.2290
0.4568 0.4883 0.2278
0.4685 0.7396 0.0117
0.4883 0.2278 0.4568
0.5117 0.7722 0.5432
0.5315 0.2604 0.9883
0.5432 0.5117 0.7722
0.7278 0.2396 0.7710
0.7290 0.9685 0.9568
0.7396 0.0117 0.4685
0.7604 0.2290 0.2722
0.7710 0.7278 0.2396
0.7722 0.5432 0.5117
0.9568 0.7290 0.9685
0.9685 0.9568 0.7290
0.9883 0.5315 0.2604
```

=====

A relaxed Ho6OsO12 crystal. Source: OQMD via LeMat-Bulk, functional PBE.

Properties
* electronic total energy: -156.7 eV/cell
* space group: R-3 (148)
* total magnetization: 2.00 μB per formula unit

Structure (POSCAR):
```
Ho6OsO12
1.0
4.8544 2.8027 3.0856
-4.8544 2.8027 3.0856
0.0000 -5.6054 3.0856
Ho Os O
6 1 12
direct
0.1111 0.8146 0.6438
0.1854 0.3562 0.8889
0.3562 0.8889 0.1854
0.6438 0.1111 0.8146
0.8146 0.6438 0.1111
0.8889 0.1854 0.3562
0.5000 0.5000 0.5000
0.0673 0.9108 0.3225
0.0892 0.6775 0.9327
0.2016 0.4262 0.5357
0.3225 0.0673 0.9108
0.4262 0.5357 0.2016
0.4643 0.7984 0.5738
0.5357 0.2016 0.4262
0.5738 0.4643 0.7984
0.6775 0.9327 0.0892
0.7984 0.5738 0.4643
0.9108 0.3225 0.0673
0.9327 0.0892 0.6775
```

=====

A relaxed HoOsPb2O6 crystal. Source: OQMD via LeMat-Bulk, functional PBE.

Properties
* excess energy over the best structure of this formula in the dataset: 0.000 eV per atom
* electronic total energy: -69.6 eV/cell
* space group: I4/m (87)
* total magnetization: 2.85 μB per formula unit

Structure (POSCAR):
```
HoOsPb2O6
1.0
-2.8932 2.8932 4.1679
2.8932 -2.8932 4.1679
2.8932 2.8932 -4.1679
Ho Os Pb O
1 1 2 6
direct
0.0000 0.0000 0.0000
0.5000 0.5000 0.0000
0.2500 0.7500 0.5000
0.7500 0.2500 0.5000
0.2111 0.3204 0.5314
0.2644 0.2644 0.0000
0.3204 0.7889 0.1093
0.6796 0.2111 0.8907
0.7356 0.7356 0.0000
0.7889 0.6796 0.4686
```

=====

A relaxed HoOsPb2O6 crystal. Source: OQMD via LeMat-Bulk, functional PBE.

Properties
* excess energy over the best structure of this formula in the dataset: 0.114 eV per atom
* electronic total energy: -68.5 eV/cell
* space group: P-1 (2)
* total magnetization: 0.89 μB per formula unit

Structure (POSCAR):
```
HoOsPb2O6
1.0
5.0833 0.0000 0.0000
-1.4335 4.9162 0.0000
-0.0514 -0.0224 5.8344
Ho Os Pb O
1 1 2 6
direct
0.0000 0.0000 0.0000
0.5000 0.5000 0.0000
0.3109 0.6913 0.5027
0.6891 0.3087 0.4973
0.2754 0.7325 0.9966
0.2788 0.2844 0.7368
0.2821 0.2889 0.2620
0.7179 0.7111 0.7380
0.7212 0.7156 0.2632
0.7246 0.2675 0.0034
```

=====

A relaxed HoPO4 crystal. Source: OQMD via LeMat-Bulk, functional PBE.

Properties
* electronic total energy: -95.8 eV/cell
* space group: P2_1/m (11)
* total magnetization: 0.00 μB per formula unit

Structure (POSCAR):
```
HoPO4
1.0
4.5615 0.0000 0.0000
0.0000 6.8487 0.0000
-0.5554 0.0000 4.5377
Ho P O
2 2 8
direct
0.1355 0.2500 0.1354
0.8645 0.7500 0.8646
0.3584 0.7500 0.3577
0.6416 0.2500 0.6423
0.2016 0.5722 0.1999
0.2016 0.9278 0.1999
0.3081 0.2500 0.6690
0.3296 0.7500 0.6898
0.6704 0.2500 0.3102
0.6919 0.7500 0.3310
0.7984 0.0722 0.8001
0.7984 0.4278 0.8001
```

=====

A relaxed HoPO4 crystal. Source: OQMD via LeMat-Bulk, functional PBE.

Properties
* electronic total energy: -95.0 eV/cell
* space group: I4_1/a (88)
* total magnetization: 0.00 μB per formula unit

Structure (POSCAR):
```
HoPO4
1.0
-2.3946 2.3946 5.5372
2.3946 -2.3946 5.5372
2.3946 2.3946 -5.5372
Ho P O
2 2 8
direct
0.3750 0.1250 0.2500
0.6250 0.8750 0.7500
0.1250 0.3750 0.7500
0.8750 0.6250 0.2500
0.0735 0.2065 0.3802
0.1933 0.5735 0.3670
0.2935 0.1738 0.8670
0.3262 0.6933 0.1198
0.6738 0.3067 0.8802
0.7065 0.8262 0.1330
0.8067 0.4265 0.6330
0.9265 0.7935 0.6198
```

=====

A relaxed HoP3O9 crystal. Source: OQMD via LeMat-Bulk, functional PBE.

Properties
* electronic total energy: -393.0 eV/cell
* space group: Pm (6)
* total magnetization: 0.00 μB per formula unit

Structure (POSCAR):
```
HoP3O9
1.0
6.8878 0.0000 0.0000
0.0000 9.6803 0.0000
-0.2084 0.0000 10.7141
Ho P O
4 12 36
direct
0.0000 0.0000 0.0000
0.1499 0.0000 0.5220
0.4726 0.5000 0.4518
0.6241 0.5000 0.9739
0.0487 0.2428 0.7524
0.0487 0.7572 0.7524
0.1380 0.5000 0.8873
0.4857 0.0000 0.0843
0.5745 0.2569 0.2213
0.5745 0.7431 0.2213
0.6329 0.0000 0.6129
0.6366 0.2842 0.7035
0.6366 0.7158 0.7035
0.9857 0.2155 0.2708
0.9857 0.7845 0.2708
0.9890 0.5000 0.3621
0.0137 0.3786 0.2618
0.0137 0.6214 0.2618
0.0345 0.1600 0.1456
0.0345 0.8400 0.1456
0.0917 0.1609 0.3830
0.0917 0.8391 0.3830
0.1527 0.5000 0.4562
0.1710 0.3759 0.7906
0.1710 0.6241 0.7906
0.1734 0.1643 0.6651
0.1734 0.8357 0.6651
0.3004 0.5000 0.9817
0.3231 0.0000 0.9901
0.4494 0.3346 0.3089
0.4494 0.6654 0.3089
0.4525 0.1243 0.1809
0.4525 0.8757 0.1809
0.4701 0.0000 0.5181
0.5306 0.3392 0.5912
0.5306 0.6608 0.5912
0.5887 0.3402 0.8286
0.5887 0.6598 0.8286
0.6070 0.1214 0.7130
0.6070 0.8786 0.7130
0.6489 0.3306 0.1090
0.6489 0.6694 0.1090
0.6884 0.0000 0.0382
0.7575 0.1935 0.2982
0.7575 0.8065 0.2982
0.7883 0.5000 0.4119
0.8343 0.0000 0.5643
0.8648 0.3050 0.6755
0.8648 0.6950 0.6755
0.9351 0.5000 0.9331
0.9757 0.1704 0.8658
0.9757 0.8296 0.8658
```

=====

A relaxed HoPO4 crystal. Source: OQMD via LeMat-Bulk, functional PBE.

Properties
* electronic total energy: -95.0 eV/cell
* space group: Cmcm (63)
* total magnetization: 0.00 μB per formula unit

Structure (POSCAR):
```
HoPO4
1.0
2.6810 -3.9823 0.0000
2.6810 3.9823 0.0000
0.0000 0.0000 7.2242
Ho P O
2 2 8
direct
0.0000 0.0000 0.0000
0.0000 0.0000 0.5000
0.3697 0.6303 0.7500
0.6303 0.3697 0.2500
0.2417 0.2783 0.7500
0.2695 0.7305 0.5698
0.2695 0.7305 0.9302
0.2783 0.2417 0.2500
0.7217 0.7583 0.7500
0.7305 0.2695 0.0698
0.7305 0.2695 0.4302
0.7583 0.7217 0.2500
```

=====

A relaxed Ho3P2O crystal. Source: OQMD via LeMat-Bulk, functional PBE.

Properties
* electronic total energy: -41.2 eV/cell
* space group: P-3m1 (164)
* total magnetization: 0.01 μB per formula unit

Structure (POSCAR):
```
Ho3P2O
1.0
3.8060 0.0000 0.0000
-1.9030 3.2961 0.0000
0.0000 0.0000 9.1911
Ho P O
3 2 1
direct
0.0000 0.0000 0.0000
0.3333 0.6667 0.3537
0.6667 0.3333 0.6463
0.3333 0.6667 0.8179
0.6667 0.3333 0.1821
0.0000 0.0000 0.5000
```

=====

A relaxed Ho2P2O7 crystal. Source: OQMD via LeMat-Bulk, functional PBE.

Properties
* electronic total energy: -158.9 eV/cell
* space group: Fd-3m (227)
* total magnetization: 0.00 μB per formula unit

Structure (POSCAR):
```
Ho2P2O7
1.0
0.0000 4.9237 4.9237
4.9237 0.0000 4.9237
4.9237 4.9237 0.0000
Ho P O
4 4 14
direct
0.0000 0.0000 0.0000
0.0000 0.0000 0.5000
0.0000 0.5000 0.0000
0.5000 0.0000 0.0000
0.0000 0.5000 0.5000
0.5000 0.0000 0.5000
0.5000 0.5000 0.0000
0.5000 0.5000 0.5000
0.1250 0.1250 0.1250
0.1768 0.1768 0.5732
0.1768 0.5732 0.1768
0.1768 0.5732 0.5732
0.4268 0.4268 0.8232
0.4268 0.8232 0.4268
0.4268 0.8232 0.8232
0.5732 0.1768 0.1768
0.5732 0.1768 0.5732
0.5732 0.5732 0.1768
0.8232 0.4268 0.4268
0.8232 0.4268 0.8232
0.8232 0.8232 0.4268
0.8750 0.8750 0.8750
```

=====

A relaxed HoPPdO crystal. Source: OQMD via LeMat-Bulk, functional PBE.

Properties
* excess energy over the best structure of this formula in the dataset: 0.000 eV per atom
* electronic total energy: -55.3 eV/cell
* space group: P4/nmm (129)
* total magnetization: 0.00 μB per formula unit

Structure (POSCAR):
```
HoPPdO
1.0
4.0341 0.0000 0.0000
0.0000 4.0341 0.0000
0.0000 0.0000 7.7707
Ho P Pd O
2 2 2 2
direct
0.2500 0.2500 0.1325
0.7500 0.7500 0.8675
0.2500 0.2500 0.6672
0.7500 0.7500 0.3328
0.2500 0.7500 0.5000
0.7500 0.2500 0.5000
0.2500 0.7500 0.0000
0.7500 0.2500 0.0000
```

=====

A relaxed HoPPdO crystal. Source: OQMD via LeMat-Bulk, functional PBE.

Properties
* excess energy over the best structure of this formula in the dataset: 0.379 eV per atom
* electronic total energy: -52.3 eV/cell
* space group: Pmc2_1 (26)
* total magnetization: 0.00 μB per formula unit

Structure (POSCAR):
```
HoPPdO
1.0
4.7009 0.0000 0.0000
0.0000 4.3942 0.0000
0.0000 0.0000 6.0658
Ho P Pd O
2 2 2 2
direct
0.0000 0.1952 0.0000
0.0000 0.8048 0.5000
0.5000 0.1274 0.7044
0.5000 0.8726 0.2044
0.5000 0.3759 0.3547
0.5000 0.6241 0.8547
0.0000 0.3368 0.3523
0.0000 0.6632 0.8523
```

=====

A relaxed HoPPdO crystal. Source: OQMD via LeMat-Bulk, functional PBE.

Properties
* excess energy over the best structure of this formula in the dataset: 0.496 eV per atom
* electronic total energy: -51.3 eV/cell
* space group: Pmc2_1 (26)
* total magnetization: 0.00 μB per formula unit

Structure (POSCAR):
```
HoPPdO
1.0
3.5172 0.0000 0.0000
0.0000 7.5841 0.0000
0.0000 0.0000 5.5184
Ho P Pd O
2 2 2 2
direct
0.0000 0.2290 0.0000
0.0000 0.7710 0.5000
0.0000 0.4059 0.5002
0.0000 0.5941 0.0002
0.5000 0.2127 0.5003
0.5000 0.7873 0.0003
0.5000 0.0831 0.0060
0.5000 0.9169 0.5060
```

=====

A relaxed PmHoPO crystal. Source: OQMD via LeMat-Bulk, functional PBE.

Properties
* excess energy over the best structure of this formula in the dataset: 0.196 eV per atom
* electronic total energy: -53.9 eV/cell
* space group: P4/nmm (129)
* total magnetization: 0.00 μB per formula unit

Structure (POSCAR):
```
PmHoPO
1.0
4.3096 0.0000 0.0000
0.0000 4.3096 0.0000
0.0000 0.0000 8.7240
Pm Ho P O
2 2 2 2
direct
0.2500 0.7500 0.0000
0.7500 0.2500 0.0000
0.2500 0.2500 0.4028
0.7500 0.7500 0.5972
0.2500 0.2500 0.7908
0.7500 0.7500 0.2092
0.2500 0.7500 0.5000
0.7500 0.2500 0.5000
```

=====

A relaxed PmHoPO crystal. Source: OQMD via LeMat-Bulk, functional PBE.

Properties
* excess energy over the best structure of this formula in the dataset: 0.083 eV per atom
* electronic total energy: -54.8 eV/cell
* space group: P4/nmm (129)
* total magnetization: 0.01 μB per formula unit

Structure (POSCAR):
```
PmHoPO
1.0
4.3525 0.0000 0.0000
0.0000 4.3525 0.0000
0.0000 0.0000 8.7727
Pm Ho P O
2 2 2 2
direct
0.2500 0.2500 0.1105
0.7500 0.7500 0.8895
0.2500 0.7500 0.5000
0.7500 0.2500 0.5000
0.2500 0.2500 0.6881
0.7500 0.7500 0.3119
0.2500 0.7500 0.0000
0.7500 0.2500 0.0000
```

=====

A relaxed PmHoPO crystal. Source: OQMD via LeMat-Bulk, functional PBE.

Properties
* excess energy over the best structure of this formula in the dataset: 0.039 eV per atom
* electronic total energy: -55.2 eV/cell
* space group: Pmc2_1 (26)
* total magnetization: 0.00 μB per formula unit

Structure (POSCAR):
```
PmHoPO
1.0
4.1868 0.0000 0.0000
0.0000 7.6113 0.0000
0.0000 0.0000 5.5078
Pm Ho P O
2 2 2 2
direct
0.0000 0.1325 0.0000
0.0000 0.8675 0.5000
0.5000 0.2936 0.4786
0.5000 0.7064 0.9786
0.5000 0.3535 0.9768
0.5000 0.6465 0.4768
0.0000 0.1777 0.4546
0.0000 0.8223 0.9546
```

=====

A relaxed PmHoPO crystal. Source: OQMD via LeMat-Bulk, functional PBE.

Properties
* excess energy over the best structure of this formula in the dataset: 0.000 eV per atom
* electronic total energy: -55.5 eV/cell
* space group: Pmc2_1 (26)
* total magnetization: 0.01 μB per formula unit

Structure (POSCAR):
```
PmHoPO
1.0
4.2648 0.0000 0.0000
0.0000 7.4562 0.0000
0.0000 0.0000 5.8776
Pm Ho P O
2 2 2 2
direct
0.0000 0.1985 0.0000
0.0000 0.8015 0.5000
0.5000 0.3812 0.5679
0.5000 0.6188 0.0679
0.0000 0.1756 0.4958
0.0000 0.8244 0.9958
0.5000 0.3377 0.9387
0.5000 0.6623 0.4387
```